# 1
Material: Y4SbS2
Method: DFT, PBE
State: relaxed

crystal system	orthorhombic
energy relative to the elements, uncorrected	-1.508	eV/atom
uncorrected energy	-6.9697	eV/atom

Unit cell a=6.7811 b=6.7811 c=13.2913 alpha=90.00 beta=90.00 gamma=145.16
Fractional positions:
Y 0.0000 0.0000 0.0000
Y 0.0000 0.0000 0.5000
Y 0.2649 0.7351 0.6159
Y 0.2649 0.7351 0.8841
Y 0.4341 0.5659 0.2500
Y 0.5659 0.4341 0.7500
Y 0.7351 0.2649 0.1159
Y 0.7351 0.2649 0.3841
Sb 0.1099 0.8901 0.2500
Sb 0.8901 0.1099 0.7500
S 0.3674 0.6326 0.0595
S 0.3674 0.6326 0.4405
S 0.6326 0.3674 0.5595
S 0.6326 0.3674 0.9405

***

# 2
Material: LaDy2Y6Tm
Method: DFT, PBE
State: relaxed

crystal system	monoclinic
uncorrected energy	-5.6198	eV/atom

Unit cell a=8.8324 b=8.8324 c=9.5259 alpha=93.20 beta=93.20 gamma=117.21
Fractional positions:
La 0.0289 0.9711 0.7500
La 0.9711 0.0289 0.2500
Dy 0.2005 0.3050 0.5515
Dy 0.3050 0.2005 0.0515
Dy 0.6950 0.7995 0.9485
Dy 0.7995 0.6950 0.4485
Y 0.0105 0.5604 0.6830
Y 0.1239 0.7541 0.0577
Y 0.2459 0.8761 0.4423
Y 0.2920 0.5128 0.8865
Y 0.4396 0.9895 0.8170
Y 0.4872 0.7080 0.6135
Y 0.5128 0.2920 0.3865
Y 0.5604 0.0105 0.1830
Y 0.7080 0.4872 0.1135
Y 0.7541 0.1239 0.5577
Y 0.8761 0.2459 0.9423
Y 0.9895 0.4396 0.3170
Tm 0.4116 0.5884 0.2500
Tm 0.5884 0.4116 0.7500

***

# 3
Material: V6CoW
Method: DFT, PBE
State: relaxed

crystal system	cubic
uncorrected energy	-9.3941	eV/atom

Unit cell a=4.7683 b=4.7683 c=4.7683 alpha=90.00 beta=90.00 gamma=90.00
Fractional positions:
V 0.0000 0.2450 0.5000
V 0.0000 0.7550 0.5000
V 0.2450 0.5000 0.0000
V 0.5000 0.0000 0.2450
V 0.5000 0.0000 0.7550
V 0.7550 0.5000 0.0000
Co 0.0000 0.0000 0.0000
W 0.5000 0.5000 0.5000

***

# 4
Material: Er4TmSi4
Method: DFT, PBE
State: relaxed

crystal system	tetragonal
energy relative to the elements, uncorrected	-0.477	eV/atom
uncorrected energy	-5.4119	eV/atom

Unit cell a=8.8804 b=8.8804 c=5.7087 alpha=90.00 beta=90.00 gamma=90.00
Fractional positions:
Er 0.0791 0.6572 0.1253
Er 0.1572 0.9209 0.6253
Er 0.3428 0.5791 0.6253
Er 0.4209 0.8428 0.1253
Er 0.5791 0.1572 0.8747
Er 0.6572 0.4209 0.3747
Er 0.8428 0.0791 0.3747
Er 0.9209 0.3428 0.8747
Tm 0.2500 0.2500 0.2500
Tm 0.7500 0.7500 0.7500
Si 0.0223 0.6126 0.6233
Si 0.1126 0.9777 0.1233
Si 0.3874 0.5223 0.1233
Si 0.4777 0.8874 0.6233
Si 0.5223 0.1126 0.3767
Si 0.6126 0.4777 0.8767
Si 0.8874 0.0223 0.8767
Si 0.9777 0.3874 0.3767

***

# 5
Material: CaLa2Pm
Method: DFT, PBE
State: relaxed

crystal system	trigonal
uncorrected energy	-4.1231	eV/atom

Unit cell a=12.6081 b=12.6081 c=12.6081 alpha=17.02 beta=17.02 gamma=17.02
Fractional positions:
Ca 0.0000 0.0000 0.0000
La 0.2462 0.2462 0.2462
La 0.7538 0.7538 0.7538
Pm 0.5000 0.5000 0.5000

***

# 6
Material: BaZnRu2
Method: DFT, PBE
State: relaxed

crystal system	monoclinic
uncorrected energy	-5.1075	eV/atom

Unit cell a=2.9827 b=3.6124 c=7.6250 alpha=90.00 beta=90.15 gamma=90.00
Fractional positions:
Ba 0.0000 0.0000 0.0000
Zn 0.4993 0.5000 0.6684
Ru 0.4977 0.5000 0.3292
Ru 0.9985 0.0000 0.4717

***

# 7
Material: Rb2InSb4Au3
Method: DFT, PBE
State: relaxed

crystal system	tetragonal
energy relative to the elements, uncorrected	-0.270	eV/atom
uncorrected energy	-3.3696	eV/atom

Unit cell a=4.9884 b=4.9884 c=11.5870 alpha=90.00 beta=90.00 gamma=90.00
Fractional positions:
Rb 0.0000 0.5000 0.2501
Rb 0.5000 0.0000 0.7499
In 0.0000 0.0000 0.5000
Sb 0.0000 0.0000 0.0000
Sb 0.0000 0.5000 0.6379
Sb 0.5000 0.0000 0.3621
Sb 0.5000 0.5000 0.0000
Au 0.0000 0.5000 0.8795
Au 0.5000 0.0000 0.1205
Au 0.5000 0.5000 0.5000

***

# 8
Material: TlZnAs4
Method: DFT, PBE
State: relaxed

crystal system	cubic
uncorrected energy	-3.4344	eV/atom

Unit cell a=6.0226 b=6.0226 c=6.0226 alpha=60.00 beta=60.00 gamma=60.00
Fractional positions:
Tl 0.0000 0.0000 0.0000
Zn 0.7500 0.7500 0.7500
As 0.3939 0.3939 0.3939
As 0.3939 0.3939 0.8183
As 0.3939 0.8183 0.3939
As 0.8183 0.3939 0.3939

***

# 9
Material: BaIn4F12
Method: DFT, PBE
State: relaxed

crystal system	cubic
energy relative to the elements, uncorrected	-2.599	eV/atom
uncorrected energy	-4.6772	eV/atom

Unit cell a=7.5817 b=7.5817 c=7.5817 alpha=109.47 beta=109.47 gamma=109.47
Fractional positions:
Ba 0.0000 0.0000 0.0000
In 0.0000 0.0000 0.5000
In 0.0000 0.5000 0.0000
In 0.5000 0.0000 0.0000
In 0.5000 0.5000 0.5000
F 0.0122 0.7730 0.2392
F 0.2270 0.2392 0.4663
F 0.2270 0.7608 0.9878
F 0.2392 0.0122 0.7730
F 0.2392 0.4663 0.2270
F 0.4663 0.2270 0.2392
F 0.5337 0.7730 0.7608
F 0.7608 0.5337 0.7730
F 0.7608 0.9878 0.2270
F 0.7730 0.2392 0.0122
F 0.7730 0.7608 0.5337
F 0.9878 0.2270 0.7608

***

# 10
Material: NaEr2ScTe4
Method: DFT, PBE
State: relaxed

crystal system	monoclinic
energy relative to the elements, uncorrected	-1.215	eV/atom
uncorrected energy	-4.8824	eV/atom

Unit cell a=7.4618 b=4.2858 c=7.5298 alpha=90.00 beta=108.97 gamma=90.00
Fractional positions:
Na 0.0000 0.0000 0.0000
Er 0.5000 0.0000 0.5000
Er 0.5000 0.5000 0.0000
Sc 0.0000 0.5000 0.5000
Te 0.2434 0.0000 0.7434
Te 0.2494 0.5000 0.2558
Te 0.7506 0.5000 0.7442
Te 0.7566 0.0000 0.2566

***

# 11
Material: PuZrBe4
Method: DFT, PBE
State: relaxed

crystal system	cubic
uncorrected energy	-6.2395	eV/atom

Unit cell a=4.8540 b=4.8540 c=4.8540 alpha=60.00 beta=60.00 gamma=60.00
Fractional positions:
Pu 0.0000 0.0000 0.0000
Zr 0.7500 0.7500 0.7500
Be 0.3778 0.3778 0.3778
Be 0.3778 0.3778 0.8666
Be 0.3778 0.8666 0.3778
Be 0.8666 0.3778 0.3778

***

# 12
Material: La5PrNi2
Method: DFT, PBE
State: relaxed

crystal system	orthorhombic
uncorrected energy	-5.2246	eV/atom

Unit cell a=6.9813 b=6.9813 c=18.9583 alpha=90.00 beta=90.00 gamma=147.91
Fractional positions:
La 0.0616 0.9384 0.5963
La 0.0616 0.9384 0.9037
La 0.3337 0.6663 0.5593
La 0.3337 0.6663 0.9407
La 0.3973 0.6027 0.2500
La 0.6027 0.3973 0.7500
La 0.6663 0.3337 0.0593
La 0.6663 0.3337 0.4407
La 0.9384 0.0616 0.0963
La 0.9384 0.0616 0.4037
Pr 0.3275 0.6725 0.7500
Pr 0.6725 0.3275 0.2500
Ni 0.2760 0.7240 0.1330
Ni 0.2760 0.7240 0.3670
Ni 0.7240 0.2760 0.6330
Ni 0.7240 0.2760 0.8670